No. 1
{
  "formula": "LiSmHg",
  "functional": "PBE",
  "state": "relaxed",
  "crystal_system": "orthorhombic",
  "space_group": "Pnma, No. 62",
  "relative_energy_kj_per_mol_fu": 0.0,
  "lattice": [[6.7033, 0.0000, 0.0000], [0.0000, 4.8744, 0.0000], [0.0000, 0.0000, 8.4936]],
  "species": ["Li", "Li", "Li", "Li", "Sm", "Sm", "Sm", "Sm", "Hg", "Hg", "Hg", "Hg"],
  "fractional_positions": [[0.2085, 0.2500, 0.0825], [0.2915, 0.7500, 0.5825], [0.7085, 0.2500, 0.4175], [0.7915, 0.7500, 0.9175], [0.0039, 0.7500, 0.2772], [0.4961, 0.2500, 0.7772], [0.5039, 0.7500, 0.2228], [0.9961, 0.2500, 0.7228], [0.2240, 0.7500, 0.9160], [0.2760, 0.2500, 0.4160], [0.7240, 0.7500, 0.5840], [0.7760, 0.2500, 0.0840]]
}


No. 2
{
  "formula": "LiSmHg",
  "functional": "PBE",
  "state": "relaxed",
  "crystal_system": "cubic",
  "space_group": "F-43m, No. 216",
  "relative_energy_kj_per_mol_fu": 149.1,
  "lattice": [[7.0336, 0.0000, 0.0000], [0.0000, 7.0336, 0.0000], [0.0000, 0.0000, 7.0336]],
  "species": ["Li", "Li", "Li", "Li", "Sm", "Sm", "Sm", "Sm", "Hg", "Hg", "Hg", "Hg"],
  "fractional_positions": [[0.0000, 0.0000, 0.0000], [0.0000, 0.5000, 0.5000], [0.5000, 0.0000, 0.5000], [0.5000, 0.5000, 0.0000], [0.2500, 0.2500, 0.7500], [0.2500, 0.7500, 0.2500], [0.7500, 0.2500, 0.2500], [0.7500, 0.7500, 0.7500], [0.0000, 0.0000, 0.5000], [0.0000, 0.5000, 0.0000], [0.5000, 0.0000, 0.0000], [0.5000, 0.5000, 0.5000]]
}


No. 3
{
  "formula": "Li3SnHg2",
  "functional": "PBE",
  "state": "relaxed",
  "crystal_system": "tetragonal",
  "space_group": "P4/mmm, No. 123",
  "lattice": [[3.3529, 0.0000, 0.0000], [0.0000, 3.3529, 0.0000], [0.0000, 0.0000, 9.9606]],
  "species": ["Li", "Li", "Li", "Sn", "Hg", "Hg"],
  "fractional_positions": [[0.0000, 0.0000, 0.0000], [0.0000, 0.0000, 0.3238], [0.0000, 0.0000, 0.6762], [0.5000, 0.5000, 0.5000], [0.5000, 0.5000, 0.1627], [0.5000, 0.5000, 0.8373]]
}


No. 4
{
  "formula": "Li8Sn2Hg",
  "functional": "PBE",
  "state": "relaxed",
  "crystal_system": "trigonal",
  "space_group": "R-3m, No. 166",
  "lattice": [[2.2957, 1.3254, 10.2340], [-2.2957, 1.3254, 10.2340], [0.0000, -2.6508, 10.2340]],
  "species": ["Li", "Li", "Li", "Li", "Li", "Li", "Li", "Li", "Sn", "Sn", "Hg"],
  "fractional_positions": [[0.0891, 0.0891, 0.0891], [0.1771, 0.1771, 0.1771], [0.2658, 0.2658, 0.2658], [0.3605, 0.3605, 0.3605], [0.6395, 0.6395, 0.6395], [0.7342, 0.7342, 0.7342], [0.8229, 0.8229, 0.8229], [0.9109, 0.9109, 0.9109], [0.4512, 0.4512, 0.4512], [0.5488, 0.5488, 0.5488], [0.0000, 0.0000, 0.0000]]
}


Record order is preserved below.
DFT total energy: -2.647; -2.131; -2.080; -2.496 eV per atom